Arrangement i

Density functional theory data (PBE) for a relaxed structure of AlTlGa2.

Unit cell a=4.3444 b=4.3444 c=6.3683 alpha=70.06 beta=70.06 gamma=60.00
Closest atoms and distances in Å follow each position.
Fractional positions:
1 Tl 0.5000 0.5000 0.5000  6 Ga 3.22
2 Al 0.0000 0.0000 0.0000  6 Ga 2.67
3 Ga 0.2813 0.2813 0.1560  3 Al 2.67
4 Ga 0.7187 0.7187 0.8440  3 Al 2.67

Arrangement ii

Density functional theory data (PBE) for a relaxed structure of AlTlGa2.

Unit cell a=7.9227 b=7.9227 c=6.3029 alpha=51.06 beta=51.06 gamma=90.00
Closest atoms and distances in Å follow each position.
Fractional positions:
1 Tl 0.0000 0.0000 0.0000  2 Al 2.89, 4 Ga 3.12
2 Tl 0.7500 0.2500 0.5000  2 Al 2.89, 4 Ga 3.12
3 Al 0.5000 0.5000 0.0000  4 Ga 2.68, 2 Tl 2.89
4 Al 0.2500 0.7500 0.5000  4 Ga 2.68, 2 Tl 2.89
5 Ga 0.5839 0.1250 0.2500  2 Al 2.68, 2 Ga 2.96
6 Ga 0.1661 0.6250 0.2500  2 Al 2.68, 2 Ga 2.96
7 Ga 0.3750 0.4161 0.7500  2 Al 2.68, 2 Ga 2.96
8 Ga 0.8750 0.8339 0.7500  2 Al 2.68, 2 Ga 2.96

Most stable = arrangement i

Arrangement i

Density functional theory data (PBE) for a relaxed structure of Al2TlGa2.

Unit cell a=8.2301 b=8.2301 c=3.0089 alpha=90.00 beta=90.00 gamma=90.00
Closest atoms and distances in Å follow each position.
Fractional positions:
1 Tl 0.0000 0.0000 0.0000  2 Tl 3.01, 4 Al 3.22
2 Tl 0.5000 0.5000 0.0000  2 Tl 3.01, 4 Al 3.22
3 Al 0.3693 0.8693 0.0000  6 Ga 2.84-2.85, 3 Al 3.01-3.04
4 Al 0.8693 0.6307 0.0000  6 Ga 2.84-2.85, 3 Al 3.01-3.04
5 Al 0.6307 0.1307 0.0000  6 Ga 2.84-2.85, 3 Al 3.01-3.04
6 Al 0.1307 0.3693 0.0000  6 Ga 2.84-2.85, 3 Al 3.01-3.04
7 Ga 0.1621 0.6621 0.5000  6 Al 2.84-2.85, 2 Ga 3.01
8 Ga 0.6621 0.8379 0.5000  6 Al 2.84-2.85, 2 Ga 3.01
9 Ga 0.8379 0.3379 0.5000  6 Al 2.84-2.85, 2 Ga 3.01
10 Ga 0.3379 0.1621 0.5000  6 Al 2.84-2.85, 2 Ga 3.01

Arrangement ii

Density functional theory data (PBE) for a relaxed structure of Al2TlGa2.

Unit cell a=4.3034 b=4.3034 c=6.5077 alpha=70.69 beta=70.69 gamma=90.00
Closest atoms and distances in Å follow each position.
Fractional positions:
1 Tl 0.0000 0.0000 0.0000  8 Ga 3.30, 8 Al 3.59
2 Al 0.7500 0.2500 0.5000  4 Ga 2.68
3 Al 0.2500 0.7500 0.5000  4 Ga 2.68
4 Ga 0.3884 0.3884 0.2232  1 Ga 2.57, 4 Al 2.68
5 Ga 0.6116 0.6116 0.7768  1 Ga 2.57, 4 Al 2.68

Most stable = arrangement ii

Arrangement i

Density functional theory data (PBE) for a relaxed structure of AlTl2Ga.

Unit cell a=5.2020 b=5.2020 c=5.2020 alpha=60.00 beta=60.00 gamma=60.00
Closest atoms and distances in Å follow each position.
Fractional positions:
1 Tl 0.2500 0.2500 0.2500  4 Al 3.19, 4 Ga 3.19
2 Tl 0.7500 0.7500 0.7500  4 Ga 3.19, 4 Al 3.19
3 Al 0.0000 0.0000 0.0000  8 Tl 3.19
4 Ga 0.5000 0.5000 0.5000  8 Tl 3.19

Arrangement ii

Density functional theory data (PBE) for a relaxed structure of AlTl2Ga.

Unit cell a=8.1440 b=8.1440 c=6.5516 alpha=51.57 beta=51.57 gamma=90.00
Closest atoms and distances in Å follow each position.
Fractional positions:
1 Tl 0.6168 0.1250 0.2500  2 Al 2.94, 2 Ga 3.03, 2 Tl 3.13
2 Tl 0.1332 0.6250 0.2500  2 Al 2.94, 2 Ga 3.03, 2 Tl 3.13
3 Tl 0.3750 0.3832 0.7500  2 Al 2.94, 2 Ga 3.03, 2 Tl 3.13
4 Tl 0.8750 0.8668 0.7500  2 Al 2.94, 2 Ga 3.03, 2 Tl 3.13
5 Al 0.5000 0.5000 0.0000  4 Tl 2.94, 2 Ga 3.12
6 Al 0.2500 0.7500 0.5000  4 Tl 2.94, 2 Ga 3.12
7 Ga 0.0000 0.0000 0.0000  4 Tl 3.03, 2 Al 3.12
8 Ga 0.7500 0.2500 0.5000  4 Tl 3.03, 2 Al 3.12

Most stable = arrangement i